A plane-wave DFT calculation with PBE with a Hubbard U was carried out for crystalline Mg2BeMoO6 at its relaxed geometry.

## Properties
- E (eV per atom) = -6.26
- calculated volume (Å³/cell) = 116

a = 4.698 Å, b = 4.962 Å, c = 4.962 Å
α = 90.00°, β = 90.00°, γ = 90.00°
Element x y z (fractional)
O1 0.727 0.754 0.246
O2 0.236 0.000 0.000
O3 0.727 0.246 0.246
O4 0.727 0.754 0.754
O5 0.727 0.246 0.754
O6 0.208 0.500 0.500
Mg1 0.972 0.500 0.000
Mg2 0.972 0.000 0.500
Mo1 0.590 0.500 0.500
Be1 0.561 0.000 0.000